# 1
A plane-wave DFT calculation with PBE was carried out for a relaxed BaMgTe2 crystal.

```
data_BaMgTe2
_cell_length_a 4.598
_cell_length_b 7.021
_cell_length_c 8.817
_cell_angle_alpha 90.00
_cell_angle_beta 90.00
_cell_angle_gamma 90.00
_symmetry_space_group_name_H-M 'I m m m'
_symmetry_Int_Tables_number 71
_symmetry_space_group_name_Hall '-I 2 2'
loop_
_atom_site_label
_atom_site_type_symbol
_atom_site_fract_x
_atom_site_fract_y
_atom_site_fract_z
_atom_site_occupancy
Ba1 Ba 0.000 0.000 0.000 1
Mg1 Mg 0.000 0.000 0.500 1
Te1 Te 0.000 0.500 0.207 1
```

Computed properties:
- energy relative to the elements, uncorrected (eV per atom) = -1.038
- volume (Å³ per cell) = 284.6
- magnetization (μB/f.u.) = 0.00

---

# 2
A plane-wave DFT calculation with PBE was carried out for a relaxed Li3MgZn crystal.

```
data_Li3MgZn
_cell_length_a 5.420
_cell_length_b 13.342
_cell_length_c 5.159
_cell_angle_alpha 90.00
_cell_angle_beta 90.00
_cell_angle_gamma 90.00
_symmetry_space_group_name_H-M 'C m c m'
_symmetry_Int_Tables_number 63
_symmetry_space_group_name_Hall '-C 2c 2'
loop_
_atom_site_label
_atom_site_type_symbol
_atom_site_fract_x
_atom_site_fract_y
_atom_site_fract_z
_atom_site_occupancy
Li1 Li 0.000 0.176 0.250 1
Li2 Li 0.243 0.152 0.750 1
Mg1 Mg 0.000 0.425 0.750 1
Zn1 Zn 0.000 0.000 0.000 1
```

Computed properties:
- polymorph energy (0 for the lowest one) (meV per atom) = 43
- volume (Å³ per cell) = 373.1
- magnetization (μB/f.u.) = 0.00